[1]
VASP calculation (GGA-PBEsol) on a relaxed structure of NaTcOs2W.

## Properties
As for the density of states at the Fermi level: 5.22 states/eV/f.u. The formation energy comes out at 2.00 eV/atom. Its crystal system is tetragonal. For the total energy, the calculation gives -8.176 eV/atom.

Lattice parameters (Å, degrees): 4.738 4.738 4.685 90.00 90.00 90.00
Space group P4/mmm (No. 123)
Symmetry-distinct sites (fractional):
1 Na 0.000 0.000 0.000 x1
2 Tc 0.500 0.500 0.000 x1
3 Os 0.000 0.500 0.500 x2
4 W 0.500 0.500 0.500 x1



[2]
VASP calculation (GGA-PBEsol) on a relaxed structure of NaTe3Os.

## Properties
As for the density of states at the Fermi level: 5.90 states/eV/f.u. As for the formation energy (no corrections): 0.39 eV per atom. Its crystal system is cubic. For the total energy, the calculation gives -4.445 eV/atom.

Lattice parameters (Å, degrees): 5.281 5.281 5.281 90.00 90.00 90.00
Space group Pm-3m (No. 221)
Symmetry-distinct sites (fractional):
1 Na 0.000 0.000 0.000 x1
2 Te 0.000 0.500 0.500 x3
3 Os 0.500 0.500 0.500 x1



[3]
VASP calculation (GGA-PBEsol) on a relaxed structure of NaTe2Os.

## Properties
As for the density of states at the Fermi level: 3.96 states/eV/f.u. As for the formation energy (no corrections): 0.05 eV per atom. Its crystal system is trigonal. For the total energy, the calculation gives -5.122 eV/atom.

Lattice parameters (Å, degrees): 3.9330 3.9330 26.3444 90.00 90.00 120.00
Space group R-3m (No. 166, hexagonal axes)
Symmetry-distinct sites (fractional):
1 Na 0.0000 0.0000 0.0000 x3
2 Te 0.0000 0.0000 0.1148 x6
3 Os 0.0000 0.0000 0.5000 x3



[4]
VASP calculation (GGA-PBEsol) on a relaxed structure of Na2TiOs.

## Properties
As for the density of states at the Fermi level: 2.64 states/eV/f.u. The formation energy comes out at 1.42 eV/atom. Its crystal system is cubic. For the total energy, the calculation gives -4.414 eV/atom.

Lattice parameters (Å, degrees): 6.530 6.530 6.530 90.00 90.00 90.00
Space group Fm-3m (No. 225)
Symmetry-distinct sites (fractional):
1 Na 0.250 0.250 0.250 x8
2 Ti 0.000 0.000 0.000 x4
3 Os 0.000 0.000 0.500 x4



[5]
VASP calculation (GGA-PBEsol) on a relaxed structure of Na3TiOs.

## Properties
As for the density of states at the Fermi level: 16.04 states/eV/f.u. The formation energy comes out at 2.46 eV/atom. Its crystal system is cubic. For the total energy, the calculation gives -2.491 eV/atom.

Lattice parameters (Å, degrees): 5.410 5.410 5.410 90.00 90.00 90.00
Space group Pm-3m (No. 221)
Symmetry-distinct sites (fractional):
1 Na 0.000 0.000 0.500 x3
2 Ti 0.000 0.000 0.000 x1
3 Os 0.500 0.500 0.500 x1



[6]
VASP calculation (GGA-PBEsol) on a relaxed structure of NaTiTl2Os.

## Properties
As for the density of states at the Fermi level: 6.20 states/eV/f.u. The formation energy comes out at 1.78 eV/atom. Its crystal system is tetragonal. For the total energy, the calculation gives -3.655 eV/atom.

Lattice parameters (Å, degrees): 4.841 4.841 4.866 90.00 90.00 90.00
Space group P4/mmm (No. 123)
Symmetry-distinct sites (fractional):
1 Na 0.000 0.000 0.000 x1
2 Ti 0.500 0.500 0.500 x1
3 Tl 0.000 0.500 0.000 x2
4 Os 0.000 0.000 0.500 x1



[7]
VASP calculation (GGA-PBEsol) on a relaxed structure of Na2TlOs.

## Properties
As for the density of states at the Fermi level: 6.15 states/eV/f.u. The formation energy comes out at 1.11 eV/atom. Its crystal system is cubic. For the total energy, the calculation gives -3.301 eV/atom.

Lattice parameters (Å, degrees): 6.847 6.847 6.847 90.00 90.00 90.00
Space group Fm-3m (No. 225)
Symmetry-distinct sites (fractional):
1 Na 0.250 0.250 0.250 x8
2 Tl 0.000 0.000 0.000 x4
3 Os 0.000 0.000 0.500 x4



[8]
VASP calculation (GGA-PBEsol) on a relaxed structure of NaZnOs3.

## Properties
As for the density of states at the Fermi level: 5.94 states/eV/f.u. The formation energy comes out at 2.27 eV/atom. Its crystal system is cubic. For the total energy, the calculation gives -5.658 eV/atom.

Lattice parameters (Å, degrees): 4.516 4.516 4.516 90.00 90.00 90.00
Space group Pm-3m (No. 221)
Symmetry-distinct sites (fractional):
1 Na 0.000 0.000 0.000 x1
2 Zn 0.500 0.500 0.500 x1
3 Os 0.000 0.500 0.500 x3



What is the formula in the eighth record? NaZnOs3



What did the sixth record say?
VASP calculation (GGA-PBEsol) on a relaxed structure of NaTiTl2Os.

## Properties
As for the density of states at the Fermi level: 6.20 states/eV/f.u. The formation energy comes out at 1.78 eV/atom. Its crystal system is tetragonal. For the total energy, the calculation gives -3.655 eV/atom.

Lattice parameters (Å, degrees): 4.841 4.841 4.866 90.00 90.00 90.00
Space group P4/mmm (No. 123)
Symmetry-distinct sites (fractional):
1 Na 0.000 0.000 0.000 x1
2 Ti 0.500 0.500 0.500 x1
3 Tl 0.000 0.500 0.000 x2
4 Os 0.000 0.000 0.500 x1



Which formula does entry 5 have? Na3TiOs